No. 1
## SbPb2I2 (PBE)

Data for a relaxed structure of SbPb2I2.

Calculated values
Its density of states at the Fermi level is 3.7 states/eV/f.u. For the energy above the most stable polymorph in this dataset, the calculation gives 0 meV/atom. The calculation puts the total magnetization at 0.00 μB per cell. The calculated density is 6.32 g cm⁻³.

Cell lengths 4.4321, 4.4315, 12.4397 Å; angles 80.73, 79.74, 60.00 degrees
With the nearest neighbours (Å) after each atom.
Fractional positions:
Sb1 0.0000 0.5000 0.5000  6 Pb 3.21
Pb1 0.7251 0.2089 0.3409  3 Sb 3.21, 3 I 3.28
Pb2 0.2749 0.7911 0.6591  3 Sb 3.21, 3 I 3.28
I1 0.4534 0.9210 0.1722  3 Pb 3.28
I2 0.5466 0.0790 0.8278  3 Pb 3.28

***

No. 2
## LaMn2Ag (PBE)

Data for a relaxed structure of LaMn2Ag.

Calculated values
Its density of states at the Fermi level is 8.8 states/eV/f.u. The calculation puts the total magnetization at 7.34 μB per cell. The value obtained for the formation energy from the elements is 395 meV per atom. The calculated density is 7.26 g cm⁻³.

Cell lengths 4.8687, 4.8687, 4.8687 Å; angles 60.00, 60.00, 60.00 degrees
With the nearest neighbours (Å) after each atom.
Fractional positions:
Mn1 0.2500 0.2500 0.2500  4 La 2.98, 4 Ag 2.98
Mn2 0.7500 0.7500 0.7500  4 Ag 2.98, 4 La 2.98
Ag1 0.0000 0.0000 0.0000  8 Mn 2.98
La1 0.5000 0.5000 0.5000  8 Mn 2.98

***

No. 3
## NdTmAlSi (PBE)

Data for a relaxed structure of NdTmAlSi.

Calculated values
Its total energy is -20.84 eV/cell. Its density of states at the Fermi level is 3.0 states/eV/f.u. The calculation puts the total magnetization at 0.00 μB per cell. The calculated density is 6.33 g cm⁻³.

Cell lengths 4.3751, 4.0151, 5.9176 Å; angles 90.00, 111.70, 90.00 degrees
With the nearest neighbours (Å) after each atom.
Fractional positions:
Nd1 0.1448 0.0000 0.2897  3 Si 3.08-3.26, 4 Al 3.09
Tm1 0.8620 0.5000 0.7240  4 Si 3.05, 3 Al 3.15-3.23
Al1 0.5682 0.5000 0.1365  2 Si 2.55
Si1 0.4249 0.0000 0.8499  2 Al 2.55

***

No. 4
## Pm3YAg (PBE)

Data for a relaxed structure of Pm3YAg.

Calculated values
Its density of states at the Fermi level is 6.7 states/eV/f.u. The calculation puts the total magnetization at 0.00 μB per cell. The value obtained for the formation energy from the elements is 52 meV per atom. The calculated density is 6.30 g cm⁻³.

Cell lengths 7.1759, 7.1759, 8.1727 Å; angles 98.26, 118.36, 107.18 degrees
With the nearest neighbours (Å) after each atom.
Fractional positions:
Pm1 0.8033 0.9700 0.1909  2 Ag 3.04-3.12
Pm2 0.2209 0.3876 0.1909  2 Ag 3.04-3.12
Pm3 0.7791 0.6124 0.8091  2 Ag 3.04-3.12
Pm4 0.7455 0.4508 0.1964  1 Ag 3.14
Pm5 0.1967 0.0300 0.8091  2 Ag 3.04-3.12
Pm6 0.2545 0.5492 0.8036  1 Ag 3.14
Y1 0.6848 0.0764 0.7612  2 Ag 3.02-3.10
Y2 0.3152 0.9236 0.2388  2 Ag 3.02-3.10
Ag1 0.6828 0.7686 0.4514  2 Y 3.02-3.10, 5 Pm 3.04-3.14
Ag2 0.3172 0.2314 0.5486  2 Y 3.02-3.10, 5 Pm 3.04-3.14